[1]
Here is crystalline Ti2VMo at its relaxed geometry from the Alexandria database. Energies are from GGA-PBE.

Unit cell a=4.9193 b=10.3394 c=6.5801 alpha=130.63 beta=90.00 gamma=90.00
Sites, in units of the cell vectors:
Ti: 0.2500 0.9454 0.0200
Ti: 0.7499 0.2441 0.8488
Ti: 0.7500 0.0546 0.9800
Ti: 0.2501 0.7559 0.1512
Ti: 0.7500 0.5546 0.9800
Ti: 0.7501 0.7441 0.8488
Ti: 0.2500 0.4454 0.0200
Ti: 0.2499 0.2559 0.1512
V: 0.5001 0.2500 0.4999
V: 0.0001 0.2500 0.5000
V: 0.9999 0.7500 0.5000
V: 0.4999 0.7500 0.5001
Mo: 0.7499 0.4510 0.3620
Mo: 0.2499 0.0490 0.6380
Mo: 0.2501 0.5490 0.6380
Mo: 0.7501 0.9510 0.3620

## Properties
V: 15.88 Å³ per atom
Formation energy: 0.120 eV per atom

[2]
Here is crystalline ZnGa2P2 at its relaxed geometry from the Alexandria database. Energies are from GGA-PBE.

Unit cell a=7.2713 b=7.2713 c=3.7451 alpha=90.00 beta=90.00 gamma=90.00
Sites, in units of the cell vectors:
Ga: 0.8808 0.3808 0.5000
Ga: 0.6192 0.8808 0.5000
Ga: 0.1192 0.6192 0.5000
Ga: 0.3808 0.1192 0.5000
Zn: 0.0000 0.0000 0.0000
Zn: 0.5000 0.5000 0.0000
P: 0.2609 0.7609 0.0000
P: 0.7391 0.2391 0.0000
P: 0.2391 0.2609 0.0000
P: 0.7609 0.7391 0.0000

## Properties
V: 19.80 Å³ per atom
Formation energy: 0.124 eV per atom

[3]
Here is crystalline SrThCl6 at its relaxed geometry from the Alexandria database. Energies are from GGA-PBE.

Unit cell a=7.1100 b=7.1095 c=7.7044 alpha=62.46 beta=62.48 gamma=59.96
Sites, in units of the cell vectors:
Cl: 0.0931 0.3828 0.7595
Cl: 0.6176 0.2362 0.2399
Cl: 0.7635 0.0934 0.7607
Cl: 0.9069 0.6172 0.2405
Cl: 0.2365 0.9066 0.2393
Cl: 0.3824 0.7638 0.7601
Sr: 0.5000 0.5000 0.5000
Th: 0.0000 0.0000 0.0000

## Properties
V: 35.64 Å³ per atom
Raw formation energy: -2.27 eV per atom

[4]
Here is crystalline Ce2HgI8 at its relaxed geometry from the Alexandria database. Energies are from GGA-PBE.

Unit cell a=8.6141 b=9.3755 c=8.6141 alpha=101.92 beta=115.65 gamma=78.08
Sites, in units of the cell vectors:
I: 0.3471 0.6349 0.1240
I: 0.8760 0.6349 0.6529
I: 0.3396 0.7485 0.6604
I: 0.1240 0.3651 0.3471
I: 0.6604 0.2515 0.3396
I: 0.6529 0.3651 0.8760
I: 0.8109 0.7750 0.1891
I: 0.1891 0.2250 0.8109
Hg: 0.0000 0.0000 0.0000
Ce: 0.2592 0.4917 0.7408
Ce: 0.7408 0.5083 0.2592

## Properties
V: 55.29 Å³ per atom
Raw formation energy: -0.98 eV per atom

[5]
Here is crystalline HoEr2N at its relaxed geometry from the Alexandria database. Energies are from GGA-PBE.

Unit cell a=3.4178 b=3.4178 c=9.5384 alpha=79.68 beta=79.68 gamma=60.00
Sites, in units of the cell vectors:
Er: 0.1197 0.1197 0.6410
Er: 0.8803 0.8803 0.3590
Ho: 0.0000 0.0000 0.0000
N: 0.5000 0.5000 0.5000

## Properties
V: 23.60 Å³ per atom
Raw formation energy: -0.69 eV per atom